A plane-wave DFT calculation with PBE was carried out for crystalline LiBe3 at its relaxed geometry.

Properties
Formation enthalpy at 0 K in meV/atom: 218.2

a b c (Å): 4.269 4.269 2.198
angles (deg): 90.00 90.00 115.05
Element x y z (fractional)
Li: 0.000 0.000 0.000
Be: 0.000 0.500 0.500
Be: 0.500 0.000 0.500
Be: 0.500 0.500 0.000

A plane-wave DFT calculation with PBE was carried out for crystalline TlGaAu2 at its relaxed geometry.

Properties
Formation enthalpy at 0 K in meV/atom: -22.8

a b c (Å): 3.376 3.376 7.381
angles (deg): 90.00 90.00 90.00
Element x y z (fractional)
Tl: 0.000 0.000 0.000
Ga: 0.000 0.000 0.500
Au: 0.500 0.500 0.296
Au: 0.500 0.500 0.704

A plane-wave DFT calculation with PBE was carried out for crystalline ZnCo2Os at its relaxed geometry.

Properties
Formation enthalpy at 0 K in meV/atom: 22.0

a b c (Å): 2.639 2.639 7.001
angles (deg): 90.00 90.00 90.00
Element x y z (fractional)
Zn: 0.000 0.000 0.000
Co: 0.500 0.500 0.254
Co: 0.500 0.500 0.746
Os: 0.000 0.000 0.500

A plane-wave DFT calculation with PBE was carried out for crystalline Tb3Y2Sc2 at its relaxed geometry.

Properties
Formation enthalpy at 0 K in meV/atom: 37.5

a b c (Å): 11.983 11.983 3.446
angles (deg): 90.00 90.00 154.90
Element x y z (fractional)
Tb: 0.000 0.000 0.000
Tb: 0.157 0.843 0.000
Tb: 0.843 0.157 0.000
Y: 0.425 0.575 0.500
Y: 0.575 0.425 0.500
Sc: 0.284 0.716 0.500
Sc: 0.716 0.284 0.500

A plane-wave DFT calculation with PBE was carried out for crystalline Tc2PW at its relaxed geometry.

Properties
Formation enthalpy at 0 K in meV/atom: -45.0

a b c (Å): 2.871 3.952 5.277
angles (deg): 90.00 105.20 90.00
Element x y z (fractional)
Tc: 0.000 0.000 0.000
Tc: 0.361 0.500 0.734
P: 0.242 0.000 0.474
W: 0.644 0.500 0.263

A plane-wave DFT calculation with PBE was carried out for crystalline AcIn2SnPd at its relaxed geometry.

Properties
Formation enthalpy at 0 K in meV/atom: -595.2

a b c (Å): 6.632 6.632 6.632
angles (deg): 137.63 137.02 61.94
Element x y z (fractional)
Ac: 0.000 0.000 0.000
In: 0.587 0.587 0.000
In: 0.751 0.251 0.500
Sn: 0.251 0.751 0.500
Pd: 0.356 0.356 0.000

A plane-wave DFT calculation with PBE was carried out for crystalline TiTlPd2 at its relaxed geometry.

Properties
Formation enthalpy at 0 K in meV/atom: -47.2

a b c (Å): 5.918 5.918 5.918
angles (deg): 103.42 103.42 122.39
Element x y z (fractional)
Ti: 0.000 0.000 0.000
Ti: 0.750 0.250 0.500
Tl: 0.250 0.750 0.500
Tl: 0.500 0.500 0.000
Pd: 0.087 0.625 0.962
Pd: 0.375 0.337 0.462
Pd: 0.663 0.125 0.038
Pd: 0.875 0.913 0.538

A plane-wave DFT calculation with PBE was carried out for crystalline Sr2YSb at its relaxed geometry.

Properties
Raw formation energy in eV/atom: -0.15

a b c (Å): 11.649 11.649 11.649
angles (deg): 19.72 19.72 19.72
Element x y z (fractional)
Sr: 0.237 0.237 0.237
Sr: 0.763 0.763 0.763
Y: 0.000 0.000 0.000
Sb: 0.500 0.500 0.500

A plane-wave DFT calculation with PBE was carried out for crystalline CrBi2Au2 at its relaxed geometry.

Properties
Formation enthalpy at 0 K in meV/atom: 181.1

a b c (Å): 7.377 7.377 4.338
angles (deg): 90.00 90.00 90.00
Element x y z (fractional)
Cr: 0.000 0.000 0.000
Cr: 0.500 0.500 0.000
Bi: 0.175 0.325 0.500
Bi: 0.325 0.825 0.500
Bi: 0.675 0.175 0.500
Bi: 0.825 0.675 0.500
Au: 0.137 0.637 0.000
Au: 0.363 0.137 0.000
Au: 0.637 0.863 0.000
Au: 0.863 0.363 0.000

A plane-wave DFT calculation with PBE was carried out for crystalline DyHgPd14 at its relaxed geometry.

Properties
Formation enthalpy at 0 K in meV/atom: -229.1

a b c (Å): 5.696 5.696 8.020
angles (deg): 90.00 90.00 90.00
Element x y z (fractional)
Dy: 0.000 0.000 0.000
Hg: 0.500 0.500 0.000
Pd: 0.000 0.000 0.500
Pd: 0.000 0.500 0.000
Pd: 0.000 0.500 0.500
Pd: 0.250 0.250 0.257
Pd: 0.250 0.250 0.743
Pd: 0.250 0.750 0.257
Pd: 0.250 0.750 0.743
Pd: 0.500 0.000 0.000
Pd: 0.500 0.000 0.500
Pd: 0.500 0.500 0.500
Pd: 0.750 0.250 0.257
Pd: 0.750 0.250 0.743
Pd: 0.750 0.750 0.257
Pd: 0.750 0.750 0.743

A plane-wave DFT calculation with PBE was carried out for crystalline NbTlW2 at its relaxed geometry.

Properties
Formation enthalpy at 0 K in meV/atom: 1313.3

a b c (Å): 6.056 6.056 6.056
angles (deg): 102.21 102.21 125.24
Element x y z (fractional)
Nb: 0.000 0.000 0.000
Nb: 0.750 0.250 0.500
Tl: 0.250 0.750 0.500
Tl: 0.500 0.500 0.000
W: 0.093 0.625 0.968
W: 0.375 0.343 0.468
W: 0.657 0.125 0.032
W: 0.875 0.907 0.532

A plane-wave DFT calculation with PBE was carried out for crystalline PmNd4Y6 at its relaxed geometry.

Properties
Formation enthalpy at 0 K in meV/atom: 107.6

a b c (Å): 5.681 5.681 26.143
angles (deg): 90.00 90.00 118.34
Element x y z (fractional)
Pm: 0.184 0.816 0.750
Pm: 0.816 0.184 0.250
Nd: 0.157 0.843 0.044
Nd: 0.157 0.843 0.456
Nd: 0.469 0.531 0.122
Nd: 0.469 0.531 0.378
Nd: 0.531 0.469 0.622
Nd: 0.531 0.469 0.878
Nd: 0.843 0.157 0.544
Nd: 0.843 0.157 0.956
Y: 0.144 0.856 0.182
Y: 0.144 0.856 0.318
Y: 0.190 0.810 0.604
Y: 0.190 0.810 0.896
Y: 0.482 0.518 0.250
Y: 0.500 0.500 0.000
Y: 0.500 0.500 0.500
Y: 0.518 0.482 0.750
Y: 0.810 0.190 0.104
Y: 0.810 0.190 0.396
Y: 0.856 0.144 0.682
Y: 0.856 0.144 0.818

A plane-wave DFT calculation with PBE was carried out for crystalline TiGa2OsCl at its relaxed geometry.

Properties
Raw formation energy in eV/atom: 1.01

a b c (Å): 4.616 4.616 4.327
angles (deg): 90.00 90.00 90.00
Element x y z (fractional)
Ti: 0.000 0.000 0.000
Ga: 0.000 0.500 0.500
Ga: 0.500 0.000 0.500
Os: 0.500 0.500 0.000
Cl: 0.000 0.000 0.500

A plane-wave DFT calculation with PBE was carried out for crystalline CaCuIr2 at its relaxed geometry.

Properties
Formation enthalpy at 0 K in meV/atom: 179.2

a b c (Å): 2.689 4.130 5.998
angles (deg): 90.00 90.00 90.00
Element x y z (fractional)
Ca: 0.000 0.000 0.000
Cu: 0.000 0.000 0.500
Ir: 0.500 0.500 0.290
Ir: 0.500 0.500 0.710

A plane-wave DFT calculation with PBE was carried out for crystalline LaHf2SnO8 at its relaxed geometry.

Properties
Raw formation energy in eV/atom: -2.77

a b c (Å): 5.003 5.003 6.751
angles (deg): 90.00 90.00 91.61
Element x y z (fractional)
La: 0.000 0.000 0.000
Hf: 0.500 0.500 0.253
Hf: 0.500 0.500 0.747
Sn: 0.000 0.000 0.500
O: 0.207 0.207 0.282
O: 0.207 0.207 0.718
O: 0.305 0.695 0.500
O: 0.328 0.672 0.000
O: 0.672 0.328 0.000
O: 0.695 0.305 0.500
O: 0.793 0.793 0.282
O: 0.793 0.793 0.718

A plane-wave DFT calculation with PBE was carried out for crystalline Ba2ZrRe at its relaxed geometry.

Properties
Formation enthalpy at 0 K in meV/atom: 635.5

a b c (Å): 6.858 6.858 6.858
angles (deg): 148.07 127.44 62.83
Element x y z (fractional)
Ba: 0.000 0.000 0.000
Ba: 0.693 0.193 0.500
Zr: 0.385 0.385 0.000
Re: 0.240 0.740 0.500

A plane-wave DFT calculation with PBE was carried out for crystalline Y4AsP at its relaxed geometry.

Properties
Formation enthalpy at 0 K in meV/atom: 267.0

a b c (Å): 6.049 6.049 6.049
angles (deg): 60.00 60.00 60.00
Element x y z (fractional)
Y: 0.125 0.125 0.125
Y: 0.125 0.125 0.625
Y: 0.125 0.625 0.125
Y: 0.625 0.125 0.125
As: 0.750 0.750 0.750
P: 0.500 0.500 0.500

A plane-wave DFT calculation with PBE was carried out for crystalline NaHfIn at its relaxed geometry.

Properties
Formation enthalpy at 0 K in meV/atom: -28.2

a b c (Å): 3.286 3.287 16.251
angles (deg): 84.22 84.21 60.05
Element x y z (fractional)
Na: 0.000 0.000 0.000
Na: 0.396 0.395 0.808
Hf: 0.504 0.505 0.478
Hf: 0.886 0.888 0.331
In: 0.118 0.119 0.637
In: 0.606 0.610 0.171

A plane-wave DFT calculation with PBE was carried out for crystalline Na4Hg5Ge2 at its relaxed geometry.

Properties
Formation enthalpy at 0 K in meV/atom: -128.3

a b c (Å): 7.551 4.418 8.814
angles (deg): 90.00 91.53 90.00
Element x y z (fractional)
Na: 0.203 0.000 0.355
Na: 0.238 0.000 0.910
Na: 0.762 0.000 0.090
Na: 0.797 0.000 0.645
Hg: 0.145 0.500 0.631
Hg: 0.445 0.500 0.161
Hg: 0.500 0.500 0.500
Hg: 0.555 0.500 0.839
Hg: 0.855 0.500 0.369
Ge: 0.071 0.500 0.123
Ge: 0.929 0.500 0.877

A plane-wave DFT calculation with PBE was carried out for crystalline ReSnAs3 at its relaxed geometry.

Properties
Formation enthalpy at 0 K in meV/atom: 549.7

a b c (Å): 4.888 4.888 4.888
angles (deg): 90.00 90.00 90.00
Element x y z (fractional)
Re: 0.000 0.000 0.000
Sn: 0.500 0.500 0.500
As: 0.000 0.000 0.500
As: 0.000 0.500 0.000
As: 0.500 0.000 0.000

A plane-wave DFT calculation with PBE was carried out for crystalline Hf3SiMo at its relaxed geometry.

Properties
Raw formation energy in eV/atom: 0.64

a b c (Å): 4.818 4.818 4.818
angles (deg): 90.00 90.00 90.00
Element x y z (fractional)
Hf: 0.000 0.000 0.500
Hf: 0.000 0.500 0.000
Hf: 0.500 0.000 0.000
Si: 0.000 0.000 0.000
Mo: 0.500 0.500 0.500

A plane-wave DFT calculation with PBE was carried out for crystalline BaCaCu2As2 at its relaxed geometry.

Properties
Formation enthalpy at 0 K in meV/atom: -784.4

a b c (Å): 4.280 4.280 8.630
angles (deg): 90.00 90.00 120.00
Element x y z (fractional)
Ba: 0.000 0.000 0.000
Ca: 0.000 0.000 0.500
Cu: 0.333 0.667 0.721
Cu: 0.667 0.333 0.279
As: 0.333 0.667 0.273
As: 0.667 0.333 0.727

A plane-wave DFT calculation with PBE was carried out for crystalline Sr2Mo at its relaxed geometry.

Properties
Formation enthalpy at 0 K in meV/atom: 486.0

a b c (Å): 6.655 6.655 9.431
angles (deg): 109.96 109.96 32.58
Element x y z (fractional)
Sr: 0.017 0.017 0.192
Sr: 0.329 0.329 0.362
Sr: 0.671 0.671 0.638
Sr: 0.983 0.983 0.808
Mo: 0.294 0.294 0.961
Mo: 0.706 0.706 0.039

A plane-wave DFT calculation with PBE was carried out for crystalline NdTmAgPd at its relaxed geometry.

Properties
Formation enthalpy at 0 K in meV/atom: -549.9

a b c (Å): 5.105 5.105 5.105
angles (deg): 60.00 60.00 60.00
Element x y z (fractional)
Nd: 0.000 0.000 0.000
Tm: 0.500 0.500 0.500
Ag: 0.750 0.750 0.750
Pd: 0.250 0.250 0.250

A plane-wave DFT calculation with PBE was carried out for crystalline AlInRh at its relaxed geometry.

Properties
Formation enthalpy at 0 K in meV/atom: -290.1

a b c (Å): 3.076 3.076 6.499
angles (deg): 90.00 90.00 120.00
Element x y z (fractional)
Al: 0.000 0.000 0.000
In: 0.667 0.333 0.391
Rh: 0.333 0.667 0.729